VASP calculation (PBE) on a relaxed structure of MnCo3P.

Summary:
- Calculated volume: 13.9 A^3/atom
- Symmetry: No. 221
- DOS(E_F): 0.41 states/eV/atom
- Electronic total energy: -34.9 eV per cell

Cell lengths 4.1074, 4.1074, 4.1074 Å; angles 90.00, 90.00, 90.00 degrees
Last column: nearest neighbours and their distance in Å.
Positions (direct):
Co (0.5000, 0.0000, 0.0000)  2 P 2.05
Co (0.0000, 0.0000, 0.5000)  2 P 2.05
Co (0.0000, 0.5000, 0.0000)  2 P 2.05
Mn (0.5000, 0.5000, 0.5000)  12 Co 2.90
P (0.0000, 0.0000, 0.0000)  6 Co 2.05